{
  "formula": "In2SnPb",
  "functional": "PBE",
  "state": "optimized geometry",
  "cell": [[4.543, 0.000, 0.000], [2.271, 3.934, 0.000], [2.271, 1.311, 6.970]],
  "species": ["In", "In", "Sn", "Pb"],
  "frac_coords": [[0.089, 0.089, 0.734], [0.245, 0.245, 0.265], [0.500, 0.500, 0.501], [0.666, 0.666, 0.001]],
  "n_ef_per_ev_atom": 0.543,
  "e_above_lowest_polymorph_mev_per_atom": 81,
  "space_group": "No. 160",
  "delta_e_f_ev_per_atom": 0.104,
  "dft_energy_ev_per_atom": -3.193
}

{
  "formula": "NaSrPb3",
  "functional": "PBE",
  "state": "optimized geometry",
  "cell": [[5.594, 0.000, 0.000], [0.000, 5.594, 0.000], [0.000, 0.000, 5.594]],
  "species": ["Pb", "Pb", "Pb", "Sr", "Na"],
  "frac_coords": [[0.000, 0.500, 0.000], [0.000, 0.000, 0.500], [0.500, 0.000, 0.000], [0.500, 0.500, 0.500], [0.000, 0.000, 0.000]],
  "n_ef_per_ev_atom": 0.676,
  "e_above_lowest_polymorph_mev_per_atom": 266,
  "space_group": "No. 221",
  "delta_e_f_ev_per_atom": 0.080,
  "dft_energy_ev_per_atom": -2.746
}

{
  "formula": "NaCd4Au2",
  "functional": "PBE",
  "state": "optimized geometry",
  "cell": [[4.586, 0.000, 0.000], [0.000, 8.430, 0.000], [0.000, 0.000, 8.430]],
  "species": ["Na", "Na", "Cd", "Cd", "Cd", "Cd", "Cd", "Cd", "Cd", "Cd", "Au", "Au", "Au", "Au"],
  "frac_coords": [[0.500, 0.000, 0.000], [0.000, 0.500, 0.500], [0.000, 0.096, 0.345], [0.000, 0.904, 0.655], [0.500, 0.155, 0.596], [0.500, 0.845, 0.404], [0.500, 0.404, 0.845], [0.500, 0.596, 0.155], [0.000, 0.345, 0.096], [0.000, 0.655, 0.904], [0.000, 0.214, 0.786], [0.000, 0.786, 0.214], [0.500, 0.714, 0.714], [0.500, 0.286, 0.286]],
  "n_ef_per_ev_atom": 0.212,
  "space_group": "No. 136",
  "delta_e_f_ev_per_atom": -0.213,
  "dft_energy_ev_per_atom": -1.861
}

{
  "formula": "Li3Rh",
  "functional": "PBE",
  "state": "optimized geometry",
  "cell": [[-0.152, 1.690, 2.180], [-1.965, 0.068, -1.940], [-4.881, -6.521, 4.714]],
  "species": ["Rh", "Li", "Li", "Li"],
  "frac_coords": [[0.667, 0.333, 0.750], [0.000, 0.000, 0.969], [0.000, 0.000, 0.531], [0.667, 0.333, 0.250]],
  "n_ef_per_ev_atom": 0.675,
  "space_group": "No. 187",
  "delta_e_f_ev_per_atom": -0.073,
  "dft_energy_ev_per_atom": -3.346
}

{
  "formula": "CrIn2Ir",
  "functional": "PBE",
  "state": "optimized geometry",
  "cell": [[8.975, -0.092, -0.054], [8.459, 3.001, -0.054], [8.459, 1.411, 2.649]],
  "species": ["Cr", "In", "In", "Ir"],
  "frac_coords": [[0.750, 0.750, 0.750], [0.997, 0.997, 0.997], [0.503, 0.503, 0.503], [0.250, 0.250, 0.250]],
  "n_ef_per_ev_atom": 0.654,
  "e_above_lowest_polymorph_mev_per_atom": 262,
  "space_group": "No. 166",
  "delta_e_f_ev_per_atom": 0.332,
  "dft_energy_ev_per_atom": -5.659
}

{
  "formula": "Pr4Sb3O",
  "functional": "PBE",
  "state": "optimized geometry",
  "cell": [[-1.693, 3.008, 5.388], [-4.676, -4.270, 0.914], [7.877, -7.233, 6.514]],
  "species": ["Pr", "Pr", "Pr", "Pr", "Pr", "Pr", "Pr", "Pr", "Sb", "Sb", "Sb", "Sb", "Sb", "Sb", "O", "O"],
  "frac_coords": [[0.062, 0.839, 0.000], [0.651, 0.254, 0.000], [0.062, 0.246, 0.250], [0.562, 0.754, 0.250], [0.151, 0.746, 0.500], [0.562, 0.161, 0.500], [0.562, 0.754, 0.750], [0.062, 0.246, 0.750], [0.564, 0.755, 0.000], [0.062, 0.745, 0.250], [0.562, 0.255, 0.250], [0.064, 0.245, 0.500], [0.562, 0.255, 0.750], [0.062, 0.745, 0.750], [0.991, 0.180, 0.000], [0.491, 0.820, 0.500]],
  "n_ef_per_ev_atom": 0.340,
  "space_group": "No. 31",
  "dft_energy_ev_per_atom": -6.007,
  "raw_formation_energy_ev_per_atom": -1.452
}

{
  "formula": "K2RhCl",
  "functional": "PBE",
  "state": "optimized geometry",
  "cell": [[-2.184, 3.032, -0.931], [-3.817, 0.266, 0.435], [-0.162, 4.276, 8.464]],
  "species": ["K", "K", "Rh", "Cl"],
  "frac_coords": [[0.989, 0.989, 0.024], [0.511, 0.511, 0.476], [0.750, 0.750, 0.750], [0.250, 0.250, 0.250]],
  "n_ef_per_ev_atom": 1.003,
  "e_above_lowest_polymorph_mev_per_atom": 76,
  "space_group": "No. 12",
  "dft_energy_ev_per_atom": -3.100,
  "raw_formation_energy_ev_per_atom": -0.252
}

{
  "formula": "NaMnGaBr4",
  "functional": "PBE",
  "state": "optimized geometry",
  "cell": [[-1.400, 5.702, -4.296], [0.475, -4.532, -6.170], [-7.425, -3.381, 1.912]],
  "species": ["Na", "Na", "Mn", "Mn", "Ga", "Ga", "Br", "Br", "Br", "Br", "Br", "Br", "Br", "Br"],
  "frac_coords": [[0.786, 0.750, 0.442], [0.214, 0.250, 0.558], [0.256, 0.750, 0.315], [0.744, 0.250, 0.685], [0.772, 0.750, 0.926], [0.228, 0.250, 0.074], [0.978, 0.500, 0.735], [0.022, 0.000, 0.265], [0.022, 0.500, 0.265], [0.978, 0.000, 0.735], [0.467, 0.750, 0.130], [0.533, 0.250, 0.870], [0.462, 0.750, 0.608], [0.538, 0.250, 0.392]],
  "n_ef_per_ev_atom": 0.000,
  "space_group": "No. 11",
  "dft_energy_ev_per_atom": -3.792,
  "raw_formation_energy_ev_per_atom": -0.905
}

{
  "formula": "Y3TcTe",
  "functional": "PBE",
  "state": "optimized geometry",
  "cell": [[5.338, 0.000, 0.000], [0.000, 5.338, 0.000], [0.000, 0.000, 5.338]],
  "species": ["Y", "Y", "Y", "Te", "Tc"],
  "frac_coords": [[0.000, 0.500, 0.000], [0.000, 0.000, 0.500], [0.500, 0.000, 0.000], [0.500, 0.500, 0.500], [0.000, 0.000, 0.000]],
  "n_ef_per_ev_atom": 1.553,
  "e_above_lowest_polymorph_mev_per_atom": 0,
  "space_group": "No. 221",
  "dft_energy_ev_per_atom": -6.705,
  "raw_formation_energy_ev_per_atom": -0.125
}

{
  "formula": "CrCo2HPt",
  "functional": "PBE",
  "state": "optimized geometry",
  "cell": [[-0.267, -3.639, 0.553], [0.091, -0.561, -3.647], [3.707, -0.252, 0.131]],
  "species": ["Cr", "Co", "Co", "Pt", "H"],
  "frac_coords": [[0.000, 0.000, 0.500], [0.000, 0.500, 0.000], [0.500, 0.000, 0.000], [0.500, 0.500, 0.500], [0.000, 0.000, 0.000]],
  "n_ef_per_ev_atom": 1.006,
  "e_above_lowest_polymorph_mev_per_atom": 0,
  "space_group": "No. 123",
  "dft_energy_ev_per_atom": -6.698
}

{
  "formula": "BaSn2Ge2",
  "functional": "PBE",
  "state": "optimized geometry",
  "cell": [[-0.484, 3.491, -2.583], [-3.710, 2.306, 0.116], [2.165, 7.331, 5.808]],
  "species": ["Ba", "Sn", "Sn", "Ge", "Ge"],
  "frac_coords": [[0.000, 0.000, 0.000], [0.214, 0.214, 0.359], [0.786, 0.786, 0.641], [0.586, 0.586, 0.241], [0.414, 0.414, 0.759]],
  "n_ef_per_ev_atom": 0.568,
  "e_above_lowest_polymorph_mev_per_atom": 86,
  "space_group": "No. 166",
  "delta_e_f_ev_per_atom": -0.203,
  "dft_energy_ev_per_atom": -4.035
}

{
  "formula": "NaAlSi4",
  "functional": "PBE",
  "state": "optimized geometry",
  "cell": [[4.364, 0.000, 0.000], [0.000, 4.364, 0.000], [0.000, 0.000, 5.952]],
  "species": ["Na", "Al", "Si", "Si", "Si", "Si"],
  "frac_coords": [[0.000, 0.000, 0.337], [0.500, 0.500, 0.675], [0.500, 0.000, 0.990], [0.000, 0.500, 0.990], [0.500, 0.500, 0.211], [0.000, 0.000, 0.796]],
  "n_ef_per_ev_atom": 0.260,
  "space_group": "No. 99",
  "dft_energy_ev_per_atom": -4.174,
  "raw_formation_energy_ev_per_atom": 0.285
}